1.
First-principles (PBE-GGA) data for UMnAl after structural relaxation, as listed in Alexandria via LeMat-Bulk.

Unit cell a=5.1108 b=5.1108 c=5.1108 alpha=119.46 beta=114.81 gamma=95.08
Positions (direct):
U 0.4139 0.1639 0.2500
U 0.5861 0.8361 0.7500
Mn 0.0000 0.5000 0.5000
Mn 0.5000 0.5000 0.0000
Al 0.0000 0.0000 0.5000
Al 0.0000 0.5000 0.0000

Output
raw total energy: -8.212 eV per atom
crystal system: orthorhombic
formation energy: -145 meV/atom

=====

2.
First-principles (PBE-GGA) data for UMnAl11 after structural relaxation, as listed in Alexandria via LeMat-Bulk.

Unit cell a=6.8335 b=6.8335 c=7.0026 alpha=98.12 beta=98.12 gamma=135.23
Positions (direct):
U 0.0000 0.0000 0.0000
Mn 0.5000 0.5000 0.5000
Al 0.0000 0.0000 0.5000
Al 0.0000 0.5000 0.0000
Al 0.0250 0.3671 0.3599
Al 0.2916 0.5016 0.7784
Al 0.3671 0.0250 0.3599
Al 0.4984 0.7084 0.2216
Al 0.5000 0.0000 0.0000
Al 0.5016 0.2916 0.7784
Al 0.6329 0.9750 0.6401
Al 0.7084 0.4984 0.2216
Al 0.9750 0.6329 0.6401

Output
raw total energy: -4.842 eV per atom
crystal system: monoclinic
formation energy: -101 meV/atom

=====

3.
First-principles (PBE-GGA) data for UMn2Al10 after structural relaxation, as listed in Alexandria via LeMat-Bulk.

Unit cell a=6.7807 b=6.7807 c=8.9805 alpha=90.00 beta=90.00 gamma=97.95
Positions (direct):
U 0.1272 0.8728 0.7500
U 0.8728 0.1272 0.2500
Mn 0.0000 0.5000 0.0000
Mn 0.0000 0.5000 0.5000
Mn 0.5000 0.0000 0.0000
Mn 0.5000 0.0000 0.5000
Al 0.1337 0.4093 0.7500
Al 0.1566 0.8434 0.0977
Al 0.1566 0.8434 0.4023
Al 0.2176 0.4775 0.2500
Al 0.2262 0.2262 0.0000
Al 0.2262 0.2262 0.5000
Al 0.3746 0.6254 0.5478
Al 0.3746 0.6254 0.9522
Al 0.4093 0.1337 0.2500
Al 0.4775 0.2176 0.7500
Al 0.5225 0.7824 0.2500
Al 0.5907 0.8663 0.7500
Al 0.6254 0.3746 0.0478
Al 0.6254 0.3746 0.4522
Al 0.7738 0.7738 0.0000
Al 0.7738 0.7738 0.5000
Al 0.7824 0.5225 0.7500
Al 0.8434 0.1566 0.5977
Al 0.8434 0.1566 0.9023
Al 0.8663 0.5907 0.2500

Output
raw total energy: -5.381 eV per atom
crystal system: orthorhombic
formation energy: -223 meV/atom

=====

- Which of these has the highest formation energy?
  UMnAl11

=====

- What is the raw total energy in the third record?
  -5.381 eV per atom

=====

- Among the records above, which one has the highest raw total energy?
  UMnAl11

=====

- Which of these has the highest formation energy?
  UMnAl11